Computed, not measured: a geometry-optimized Ag5Pt2Au5 structure at the GGA-PBE level of DFT.

Properties
M_tot = 0.0 μB/f.u.
space-group type = C2/m, No. 12
electronic total energy = -42.9 eV for the cell shown
crystal system = monoclinic

Cell lengths 6.464, 6.464, 9.109 Å; angles 114.36, 114.36, 37.73 degrees
Atoms (fractional coordinates):
Ag 0.000 0.000 0.000
Ag 0.082 0.082 0.750
Ag 0.168 0.168 0.500
Ag 0.832 0.832 0.500
Ag 0.918 0.918 0.250
Pt 0.416 0.416 0.748
Pt 0.584 0.584 0.252
Au 0.247 0.247 0.249
Au 0.337 0.337 0.001
Au 0.500 0.500 0.500
Au 0.663 0.663 0.999
Au 0.753 0.753 0.751


Computed, not measured: a geometry-optimized Ag12PtAu2 structure at the GGA-PBE level of DFT.

Properties
M_tot = 0.0 μB/f.u.
space-group type = P4/nbm, No. 125
electronic total energy = -85.9 eV for the cell shown
crystal system = tetragonal

Cell lengths 5.433, 5.433, 20.246 Å; angles 90.00, 90.00, 90.00 degrees
Atoms (fractional coordinates):
Ag 0.000 0.000 0.098
Ag 0.000 0.000 0.902
Ag 0.000 0.500 0.098
Ag 0.000 0.500 0.902
Ag 0.072 0.572 0.436
Ag 0.072 0.928 0.564
Ag 0.250 0.250 0.203
Ag 0.250 0.250 0.335
Ag 0.250 0.250 0.665
Ag 0.250 0.250 0.797
Ag 0.428 0.572 0.564
Ag 0.428 0.928 0.436
Ag 0.500 0.000 0.098
Ag 0.500 0.000 0.902
Ag 0.500 0.500 0.098
Ag 0.500 0.500 0.902
Ag 0.572 0.072 0.564
Ag 0.572 0.428 0.436
Ag 0.750 0.750 0.203
Ag 0.750 0.750 0.335
Ag 0.750 0.750 0.665
Ag 0.750 0.750 0.797
Ag 0.928 0.072 0.436
Ag 0.928 0.428 0.564
Pt 0.250 0.750 0.000
Pt 0.750 0.250 0.000
Au 0.250 0.750 0.269
Au 0.250 0.750 0.731
Au 0.750 0.250 0.269
Au 0.750 0.250 0.731


Computed, not measured: a geometry-optimized Ag6PtAu2 structure at the GGA-PBE level of DFT.

Properties
M_tot = 0.0 μB/f.u.
space-group type = C2/m, No. 12
electronic total energy = -29.5 eV for the cell shown
crystal system = monoclinic

Cell lengths 4.560, 4.560, 8.614 Å; angles 95.51, 95.51, 63.82 degrees
Atoms (fractional coordinates):
Ag 0.000 0.000 0.170
Ag 0.000 0.000 0.830
Ag 0.332 0.332 0.718
Ag 0.333 0.333 0.391
Ag 0.667 0.667 0.609
Ag 0.668 0.668 0.282
Pt 0.000 0.000 0.500
Au 0.334 0.334 0.055
Au 0.666 0.666 0.945


Computed, not measured: a geometry-optimized AgPtAu2 structure at the GGA-PBE level of DFT.

Properties
M_tot = 0.0 μB/f.u.
space-group type = Cmmm, No. 65
electronic total energy = -15.3 eV for the cell shown
crystal system = orthorhombic

Cell lengths 2.817, 2.817, 9.276 Å; angles 90.00, 90.00, 109.20 degrees
Atoms (fractional coordinates):
Ag 0.000 0.000 0.000
Pt 0.000 0.000 0.500
Au 0.500 0.500 0.253
Au 0.500 0.500 0.747


Computed, not measured: a geometry-optimized Ag3Pt2Au8 structure at the GGA-PBE level of DFT.

Properties
M_tot = 0.0 μB/f.u.
space-group type = Cmmm, No. 65
electronic total energy = -45.6 eV for the cell shown
crystal system = orthorhombic

Cell lengths 7.913, 7.913, 4.723 Å; angles 90.00, 90.00, 122.73 degrees
Atoms (fractional coordinates):
Ag 0.000 0.000 0.000
Ag 0.312 0.312 0.500
Ag 0.688 0.688 0.500
Pt 0.212 0.788 0.000
Pt 0.788 0.212 0.000
Au 0.114 0.886 0.500
Au 0.200 0.429 0.000
Au 0.316 0.684 0.500
Au 0.429 0.200 0.000
Au 0.571 0.800 0.000
Au 0.684 0.316 0.500
Au 0.800 0.571 0.000
Au 0.886 0.114 0.500


Computed, not measured: a geometry-optimized Ag3PtAu structure at the GGA-PBE level of DFT.

Properties
M_tot = 0.0 μB/f.u.
space-group type = R-3m, No. 166
electronic total energy = -33.3 eV for the cell shown
crystal system = trigonal

Cell lengths 7.696, 7.696, 7.696 Å; angles 41.87, 41.87, 41.87 degrees
Atoms (fractional coordinates):
Ag 0.111 0.111 0.609
Ag 0.111 0.609 0.111
Ag 0.391 0.889 0.889
Ag 0.609 0.111 0.111
Ag 0.889 0.391 0.889
Ag 0.889 0.889 0.391
Pt 0.167 0.167 0.167
Pt 0.833 0.833 0.833
Au 0.434 0.434 0.434
Au 0.566 0.566 0.566


| no. | DFT formation energy (eV/atom) |
| --- | --- |
| 1 | -0.02 |
| 2 | 0.26 |
| 3 | 0.02 |
| 4 | 0.05 |
| 5 | 0.10 |
| 6 | 0.24 |